! PBE ScGaBr2, relaxed; values from VASP
&SYSTEM
  ibrav = 0, nat = 4, ntyp = 3
/
ATOMIC_SPECIES
Sc 44.96 Sc.upf
Ga 69.72 Ga.upf
Br 79.90 Br.upf
ATOMIC_POSITIONS angstrom
Sc 0.0000 0.0000 0.0000
Ga 3.6137 3.6137 3.6137
Br 1.8068 1.8068 1.8068
Br 5.4205 5.4205 5.4205
CELL_PARAMETERS angstrom
0.0000 3.6137 3.6137
3.6137 0.0000 3.6137
3.6137 3.6137 0.0000
! Formation energy without anion corrections ... -0.5070 eV per atom
! DFT total energy ... -0.271 Ry/atom
! DOS(E_F) ... 2.336 states/eV per cell
! ΔE to the lowest computed polymorph ... 371.9 meV/atom
! Magnetization ... 0.415 μB/atom